No. 1
VASP calculation (GGA-PBE) on a geometry-optimized Co3NiHg structure.

```
data_Co3NiHg
_chemical_formula_sum 'Co3 Ni1 Hg1'
_space_group_name_H-M_alt 'P m -3 m'
_space_group_IT_number 221
_space_group_name_Hall '-P 4 2 3'
_cell_length_a 4.3194
_cell_length_b 4.3194
_cell_length_c 4.3194
_cell_angle_alpha 90.00
_cell_angle_beta 90.00
_cell_angle_gamma 90.00
loop_
_atom_site_label
_atom_site_fract_x
_atom_site_fract_y
_atom_site_fract_z
Co1 0.0000 0.0000 0.5000
Ni1 0.0000 0.0000 0.0000
Hg1 0.5000 0.5000 0.5000
```

Results
Excess energy over the best structure of this formula in the dataset in meV/atom: 0.0



No. 2
VASP calculation (GGA-PBE) on a geometry-optimized Ir7Os structure.

```
data_Ir7Os
_chemical_formula_sum 'Ir28 Os4'
_space_group_name_H-M_alt 'F m -3 m'
_space_group_IT_number 225
_space_group_name_Hall '-F 4 2 3'
_cell_length_a 7.7387
_cell_length_b 7.7387
_cell_length_c 7.7387
_cell_angle_alpha 90.00
_cell_angle_beta 90.00
_cell_angle_gamma 90.00
loop_
_atom_site_label
_atom_site_fract_x
_atom_site_fract_y
_atom_site_fract_z
Ir1 0.0000 0.0000 0.0000
Ir2 0.0000 0.2500 0.2500
Os1 0.0000 0.0000 0.5000
```



No. 3
VASP calculation (GGA-PBE) on a geometry-optimized CeFeNi structure.

```
data_CeFeNi
_chemical_formula_sum 'Ce4 Fe4 Ni4'
_space_group_name_H-M_alt 'P 41 21 2'
_space_group_IT_number 92
_cell_length_a 6.4179
_cell_length_b 6.4179
_cell_length_c 5.3334
_cell_angle_alpha 90.00
_cell_angle_beta 90.00
_cell_angle_gamma 90.00
loop_
_space_group_symop_operation_xyz
'x,y,z'
'-y+1/2,x+1/2,z+1/4'
'-x,-y,z+1/2'
'y+1/2,-x+1/2,z+3/4'
'x+1/2,-y+1/2,-z+3/4'
'-y,-x,-z+1/2'
'-x+1/2,y+1/2,-z+1/4'
'y,x,-z'
loop_
_atom_site_label
_atom_site_fract_x
_atom_site_fract_y
_atom_site_fract_z
Ce1 0.2249 0.2249 0.0000
Fe1 0.0091 0.0091 0.5000
Ni1 0.2306 0.7694 0.7500
```



No. 4
VASP calculation (GGA-PBE) on a geometry-optimized CrTc2Ni structure.

```
data_CrTc2Ni
_chemical_formula_sum 'Cr1 Tc2 Ni1'
_space_group_name_H-M_alt 'P 4/m m m'
_space_group_IT_number 123
_space_group_name_Hall '-P 4 2'
_cell_length_a 2.6273
_cell_length_b 2.6273
_cell_length_c 7.5376
_cell_angle_alpha 90.00
_cell_angle_beta 90.00
_cell_angle_gamma 90.00
loop_
_atom_site_label
_atom_site_fract_x
_atom_site_fract_y
_atom_site_fract_z
Cr1 0.0000 0.0000 0.0000
Tc1 0.5000 0.5000 0.2471
Ni1 0.0000 0.0000 0.5000
```

Results
Excess energy over the best structure of this formula in the dataset in meV/atom: 77.1



In eV per atom, the formation energy values for the records above are, in order, 1.003, 0.011, 0.074, 0.098.